Version i
This record from Alexandria via LeMat-Bulk describes a geometry-optimized Sr2CdHgPt structure. The functional is PBE-GGA.

Structure (POSCAR):
```
Sr2CdHgPt
1.0
5.8181 0.0000 0.0000
0.0000 5.8181 0.0000
0.0000 0.0000 5.2430
Hg Pt Sr Cd
1 1 2 1
direct
0.5000 0.5000 0.5000
0.0000 0.0000 0.0000
0.0000 0.5000 0.0000
0.5000 0.0000 0.0000
0.0000 0.0000 0.5000
```

=====

Version ii
This record from Alexandria via LeMat-Bulk describes a geometry-optimized Sr2CdHgPt structure. The functional is PBE-GGA.

Structure (POSCAR):
```
Sr2CdHgPt
1.0
5.8231 0.0000 0.0000
0.0000 5.8231 0.0000
0.0000 0.0000 5.2786
Hg Cd Sr Pt
1 1 2 1
direct
0.0000 0.0000 0.5000
0.5000 0.5000 0.5000
0.0000 0.5000 0.0000
0.5000 0.0000 0.0000
0.0000 0.0000 0.0000
```

=====

Tell me which of them is the most stable. Sure, it is version i.

=====

Version i
This record from Alexandria via LeMat-Bulk describes a geometry-optimized ThCdHgPt structure. The functional is PBE-GGA.

Structure (POSCAR):
```
ThCdHgPt
1.0
-3.5479 -0.7545 1.8546
1.9644 -2.0409 2.9278
1.1438 10.1833 6.3312
Cd Th Pt Hg
2 2 2 2
direct
0.0000 0.0000 0.5000
0.5000 0.5000 0.5000
0.5000 0.0000 0.1587
0.0000 0.5000 0.8413
0.0000 0.5000 0.0829
0.5000 0.0000 0.9171
0.5000 0.0000 0.6800
0.0000 0.5000 0.3200
```

=====

Version ii
This record from Alexandria via LeMat-Bulk describes a geometry-optimized ThCdHgPt structure. The functional is PBE-GGA.

Structure (POSCAR):
```
ThCdHgPt
1.0
5.0637 0.0000 0.0000
2.5319 4.3853 0.0000
2.5319 1.4618 4.1345
Hg Pt Th Cd
1 1 1 1
direct
0.7500 0.7500 0.7500
0.2500 0.2500 0.2500
0.0000 0.0000 0.0000
0.5000 0.5000 0.5000
```

=====

Tell me which of them is the most stable. Sure, it is version ii.

=====

Version i
This record from Alexandria via LeMat-Bulk describes a geometry-optimized TlCdHg2Pt structure. The functional is PBE-GGA.

Structure (POSCAR):
```
TlCdHg2Pt
1.0
5.3190 0.0000 0.0000
0.0000 5.3190 0.0000
0.0000 0.0000 5.2572
Hg Pt Tl Cd
2 1 1 1
direct
0.0000 0.5000 0.0000
0.5000 0.0000 0.0000
0.0000 0.0000 0.0000
0.5000 0.5000 0.5000
0.0000 0.0000 0.5000
```

=====

Version ii
This record from Alexandria via LeMat-Bulk describes a geometry-optimized TlCdHg2Pt structure. The functional is PBE-GGA.

Structure (POSCAR):
```
TlCdHg2Pt
1.0
5.3128 0.0000 0.0000
0.0000 5.3128 0.0000
0.0000 0.0000 5.6624
Tl Hg Cd Pt
1 2 1 1
direct
0.0000 0.0000 0.5000
0.5000 0.0000 0.0000
0.0000 0.5000 0.0000
0.0000 0.0000 0.0000
0.5000 0.5000 0.5000
```

=====

Tell me which of them is the most stable. Sure, it is version i.

=====

Version i
This record from Alexandria via LeMat-Bulk describes a geometry-optimized PuCd6Hg8 structure. The functional is PBE-GGA.

Structure (POSCAR):
```
PuCd6Hg8
1.0
7.6406 1.0513 3.2667
2.5404 7.2822 3.2667
1.2844 1.0513 8.2097
Cd Pu Hg
6 1 8
direct
0.5968 0.4379 0.1474
0.4032 0.5621 0.8526
0.5621 0.8526 0.4032
0.4379 0.1474 0.5968
0.8526 0.4032 0.5621
0.1474 0.5968 0.4379
0.0000 0.0000 0.0000
0.3623 0.8831 0.1300
0.6377 0.1169 0.8700
0.7310 0.7310 0.7310
0.1169 0.8700 0.6377
0.8831 0.1300 0.3623
0.8700 0.6377 0.1169
0.2690 0.2690 0.2690
0.1300 0.3623 0.8831
```

=====

Version ii
This record from Alexandria via LeMat-Bulk describes a geometry-optimized PuCd6Hg8 structure. The functional is PBE-GGA.

Structure (POSCAR):
```
PuCd6Hg8
1.0
-6.9160 5.2642 -1.3962
-4.9308 -1.0324 -7.2189
-7.4103 -2.3666 0.0327
Hg Cd Pu
8 6 1
direct
0.1851 0.3435 0.5896
0.3435 0.8817 0.5896
0.1183 0.8149 0.4104
0.4178 0.4178 0.7467
0.8817 0.1851 0.5896
0.5822 0.5822 0.2533
0.8149 0.6565 0.4104
0.6565 0.1183 0.4104
0.7210 0.4404 0.9035
0.0649 0.2790 0.0965
0.5596 0.0649 0.0965
0.9351 0.7210 0.9035
0.4404 0.9351 0.9035
0.2790 0.5596 0.0965
0.0000 0.0000 0.0000
```

=====

Tell me which of them is the most stable. Sure, it is version ii.

=====

Version i
This record from Alexandria via LeMat-Bulk describes a geometry-optimized PuCd4Hg2 structure. The functional is PBE-GGA.

Structure (POSCAR):
```
PuCd4Hg2
1.0
-3.2126 -2.1627 3.2408
1.6117 -1.4605 4.5575
-2.3210 5.7230 5.4525
Cd Pu Hg
4 1 2
direct
0.8573 0.8573 0.4281
0.1427 0.1427 0.5719
0.5761 0.5761 0.2717
0.4239 0.4239 0.7283
0.0000 0.0000 0.0000
0.2769 0.2769 0.1693
0.7231 0.7231 0.8307
```

=====

Version ii
This record from Alexandria via LeMat-Bulk describes a geometry-optimized PuCd4Hg2 structure. The functional is PBE-GGA.

Structure (POSCAR):
```
PuCd4Hg2
1.0
3.1690 0.0000 0.0000
0.0000 3.0035 -0.7726
0.0000 2.8314 17.2328
Pu Cd Hg
1 4 2
direct
0.0000 0.5000 0.0000
0.5000 0.6464 0.2927
0.0000 0.2125 0.4251
0.0000 0.7875 0.5749
0.5000 0.3536 0.7073
0.5000 0.9290 0.8580
0.5000 0.0710 0.1420
```

=====

Tell me which of them is the most stable. Sure, it is version i.

=====

Version i
This record from Alexandria via LeMat-Bulk describes a geometry-optimized Pu2CdHg3 structure. The functional is PBE-GGA.

Structure (POSCAR):
```
Pu2CdHg3
1.0
6.1624 0.0000 0.0000
-3.0812 5.3368 0.0000
0.0000 0.0000 9.1516
Cd Hg Pu
2 6 4
direct
0.0000 0.0000 0.5000
0.0000 0.0000 0.0000
0.1724 0.3448 0.2500
0.8276 0.1724 0.7500
0.8276 0.6552 0.7500
0.3448 0.1724 0.7500
0.1724 0.8276 0.2500
0.6552 0.8276 0.2500
0.6667 0.3333 0.0664
0.3333 0.6667 0.9336
0.3333 0.6667 0.5664
0.6667 0.3333 0.4336
```

=====

Version ii
This record from Alexandria via LeMat-Bulk describes a geometry-optimized Pu2CdHg3 structure. The functional is PBE-GGA.

Structure (POSCAR):
```
Pu2CdHg3
1.0
-2.9124 0.9561 -5.1957
4.6803 -3.8029 -0.1568
-6.3625 -5.3943 4.4927
Hg Pu Cd
6 4 2
direct
0.1680 0.1680 0.3361
0.1691 0.6634 0.8324
0.8320 0.8320 0.6639
0.3366 0.8309 0.1676
0.8309 0.3366 0.1676
0.6634 0.1691 0.8324
0.2500 0.7500 0.5000
0.7534 0.7534 0.0000
0.2466 0.2466 0.0000
0.7500 0.2500 0.5000
0.6668 0.6668 0.3335
0.3332 0.3332 0.6665
```

=====

Tell me which of them is the most stable. Sure, it is version ii.

=====

Version i
This record from Alexandria via LeMat-Bulk describes a geometry-optimized Pu2CdHg6 structure. The functional is PBE-GGA.

Structure (POSCAR):
```
Pu2CdHg6
1.0
2.9579 0.0000 -0.7911
-1.7200 14.0075 -6.4307
0.5373 -4.8771 7.9340
Cd Hg Pu
1 6 2
direct
0.0000 0.5000 0.0000
0.3431 0.1667 0.6862
0.5000 0.1486 0.0000
0.3431 0.5195 0.6862
0.5000 0.8514 0.0000
0.6569 0.8333 0.3138
0.6569 0.4805 0.3138
0.1823 0.1823 0.3646
0.8177 0.8177 0.6354
```

=====

Version ii
This record from Alexandria via LeMat-Bulk describes a geometry-optimized Pu2CdHg6 structure. The functional is PBE-GGA.

Structure (POSCAR):
```
Pu2CdHg6
1.0
-3.0376 -5.2508 0.6190
1.1645 -1.4260 -6.3454
5.4371 -3.3495 -1.6946
Hg Pu Cd
6 2 1
direct
0.6780 0.6370 0.1813
0.6784 0.1817 0.1817
0.3216 0.8183 0.8183
0.6780 0.1813 0.6370
0.3220 0.8187 0.3630
0.3220 0.3630 0.8187
0.8419 0.6665 0.6665
0.1581 0.3335 0.3335
0.0000 0.0000 0.0000
```

=====

Tell me which of them is the most stable. Sure, it is version ii.

=====

Version i
This record from Alexandria via LeMat-Bulk describes a geometry-optimized Pu2Cd3Hg2 structure. The functional is PBE-GGA.

Structure (POSCAR):
```
Pu2Cd3Hg2
1.0
5.1140 0.0000 0.0000
-2.5570 4.1851 1.3990
0.0000 0.3853 8.2433
Cd Hg Pu
3 2 2
direct
0.2965 0.5931 0.1134
0.7035 0.4069 0.8866
0.0000 0.0000 0.0000
0.1610 0.3220 0.5169
0.8390 0.6780 0.4831
0.4323 0.8647 0.7010
0.5677 0.1353 0.2990
```

=====

Version ii
This record from Alexandria via LeMat-Bulk describes a geometry-optimized Pu2Cd3Hg2 structure. The functional is PBE-GGA.

Structure (POSCAR):
```
Pu2Cd3Hg2
1.0
3.0799 0.0000 0.0000
0.0000 4.9719 -1.1645
0.0000 -0.0083 11.1613
Hg Pu Cd
2 2 3
direct
0.0000 0.4242 0.8484
0.0000 0.5758 0.1516
0.5000 0.1433 0.2867
0.5000 0.8567 0.7133
0.0000 0.2828 0.5655
0.0000 0.0000 0.0000
0.0000 0.7172 0.4345
```

=====

Tell me which of them is the most stable. Sure, it is version ii.

=====

Version i
This record from Alexandria via LeMat-Bulk describes a geometry-optimized PuCd2Hg structure. The functional is PBE-GGA.

Structure (POSCAR):
```
PuCd2Hg
1.0
-1.8145 -0.7957 2.5028
-1.7700 -1.8769 -1.8799
5.7747 -7.3113 1.8623
Hg Cd Pu
1 2 1
direct
0.5000 0.5000 0.0000
0.0000 0.0000 0.7596
0.0000 0.0000 0.2404
0.5000 0.5000 0.5000
```

=====

Version ii
This record from Alexandria via LeMat-Bulk describes a geometry-optimized PuCd2Hg structure. The functional is PBE-GGA.

Structure (POSCAR):
```
PuCd2Hg
1.0
-2.6079 3.2490 -2.4798
-3.3849 -0.3487 3.1029
1.9010 3.4003 2.4558
Cd Hg Pu
2 1 1
direct
0.0000 0.5000 0.0000
0.0000 0.0000 0.5000
0.5000 0.0000 0.0000
0.5000 0.5000 0.5000
```

=====

Version iii
This record from Alexandria via LeMat-Bulk describes a geometry-optimized PuCd2Hg structure. The functional is PBE-GGA.

Structure (POSCAR):
```
PuCd2Hg
1.0
5.1594 -0.0329 -0.0474
-2.5795 4.4965 0.0159
-2.5788 -1.5073 4.2369
Hg Pu Cd
1 1 2
direct
0.6250 0.5619 0.1881
0.1250 0.3125 0.4375
0.1250 0.8124 0.9377
0.6250 0.0632 0.6868
```

=====

Tell me which of them is the most stable. Sure, it is version iii.

=====

Version i
This record from Alexandria via LeMat-Bulk describes a geometry-optimized PuCd2Hg structure. The functional is PBE-GGA.

Structure (POSCAR):
```
PuCd2Hg
1.0
-0.1263 -3.0818 0.9827
2.1106 -1.0845 2.2018
-6.1532 1.4135 8.9741
Pu Hg Cd
1 1 2
direct
0.5000 0.5000 0.5000
0.0000 0.0000 0.0000
0.2528 0.2528 0.2417
0.7472 0.7472 0.7583
```

=====

Version ii
This record from Alexandria via LeMat-Bulk describes a geometry-optimized PuCd2Hg structure. The functional is PBE-GGA.

Structure (POSCAR):
```
PuCd2Hg
1.0
5.1610 0.0000 0.0000
2.5805 4.4696 0.0000
2.5805 1.4899 4.2140
Cd Pu Hg
2 1 1
direct
0.2500 0.2500 0.2500
0.7500 0.7500 0.7500
0.5000 0.5000 0.5000
0.0000 0.0000 0.0000
```

=====

Tell me which of them is the most stable. Sure, it is version ii.

=====

Version i
This record from Alexandria via LeMat-Bulk describes a geometry-optimized PuCd2Hg8 structure. The functional is PBE-GGA.

Structure (POSCAR):
```
PuCd2Hg8
1.0
-3.5858 3.6153 -0.7700
-3.4142 -4.6707 -6.0300
-0.3523 -2.3559 7.8010
Hg Cd Pu
8 2 1
direct
0.3614 0.5476 0.7227
0.8514 0.8477 0.7028
0.6386 0.4524 0.2773
0.0022 0.6917 0.0044
0.1486 0.1523 0.2972
0.6422 0.8316 0.2843
0.9978 0.3083 0.9956
0.3578 0.1684 0.7157
0.7769 0.2788 0.5539
0.2231 0.7212 0.4461
0.5000 0.0000 0.0000
```

=====

Version ii
This record from Alexandria via LeMat-Bulk describes a geometry-optimized PuCd2Hg8 structure. The functional is PBE-GGA.

Structure (POSCAR):
```
PuCd2Hg8
1.0
4.4237 0.7249 0.0000
0.9309 8.9603 0.0000
0.4655 4.4801 7.8101
Hg Cd Pu
8 2 1
direct
0.8933 0.3134 0.7688
0.1067 0.9179 0.7688
0.6636 0.6278 0.0000
0.5000 0.7884 0.4233
0.3364 0.3722 0.0000
0.1067 0.6866 0.2312
0.5000 0.2116 0.5767
0.8933 0.0821 0.2312
0.0000 0.3333 0.3335
0.0000 0.6667 0.6665
0.5000 0.0000 0.0000
```

=====

Tell me which of them is the most stable. Sure, it is version i.

=====

Version i
This record from Alexandria via LeMat-Bulk describes a geometry-optimized PuCd3Hg2 structure. The functional is PBE-GGA.

Structure (POSCAR):
```
PuCd3Hg2
1.0
4.9073 0.0000 0.0000
-2.4537 7.4395 -0.8340
0.0000 -4.0121 8.4921
Cd Pu Hg
6 2 4
direct
0.9966 0.9933 0.6571
0.7474 0.4949 0.4138
0.3802 0.7604 0.3968
0.6198 0.2396 0.6032
0.2526 0.5051 0.5861
0.0034 0.0067 0.3429
0.8765 0.7530 0.8857
0.1235 0.2470 0.1143
0.2368 0.4735 0.8917
0.7632 0.5265 0.1083
0.4960 0.9920 0.1640
0.5040 0.0080 0.8360
```

=====

Version ii
This record from Alexandria via LeMat-Bulk describes a geometry-optimized PuCd3Hg2 structure. The functional is PBE-GGA.

Structure (POSCAR):
```
PuCd3Hg2
1.0
-1.8985 2.0983 -1.4045
5.3548 -1.7751 -6.3375
-12.5895 -7.2468 6.1911
Cd Pu Hg
6 2 4
direct
0.0799 0.1598 0.6501
0.9201 0.8402 0.3499
0.3024 0.6048 0.1182
0.4313 0.8626 0.6900
0.6976 0.3952 0.8818
0.5687 0.1374 0.3100
0.8343 0.6687 0.7973
0.1657 0.3313 0.2027
0.5746 0.1493 0.9602
0.8238 0.6476 0.4591
0.1762 0.3524 0.5409
0.4254 0.8507 0.0398
```

=====

Tell me which of them is the most stable. Sure, it is version ii.